Record 1
VASP calculation (PBE-GGA) on a relaxed Li3CuNi4 crystal.

Size of the total moment, μB per formula unit: 0.0
ΔH_f (0 K), eV per atom: -0.0343

a b c (Å): 5.011 7.103 5.045
angles (deg): 90.00 90.00 90.00
Element x y z (fractional)
Ni: 0.000 0.314 0.000
Ni: 0.000 0.314 0.500
Ni: 0.250 0.064 0.256
Ni: 0.250 0.564 0.744
Ni: 0.500 0.814 0.500
Ni: 0.500 0.814 0.000
Ni: 0.750 0.564 0.744
Ni: 0.750 0.064 0.256
Cu: 0.000 0.815 0.500
Cu: 0.500 0.315 0.500
Li: 0.000 0.814 0.000
Li: 0.250 0.064 0.750
Li: 0.250 0.564 0.250
Li: 0.500 0.314 0.000
Li: 0.750 0.564 0.250
Li: 0.750 0.064 0.750

=====

Record 2
VASP calculation (PBE-GGA) on a relaxed LiCu3Ni2 crystal.

Excess energy over the best structure of this formula in the dataset, meV per atom: 16
Size of the total moment, μB per formula unit: 0.0
ΔH_f (0 K), eV per atom: -0.0076

a b c (Å): 5.058 8.744 7.625
angles (deg): 90.00 90.00 125.26
Element x y z (fractional)
Li: 0.250 0.873 0.086
Li: 0.250 0.373 0.414
Li: 0.750 0.627 0.586
Li: 0.750 0.127 0.914
Cu: 0.247 0.628 0.584
Cu: 0.247 0.128 0.916
Cu: 0.245 0.623 0.913
Cu: 0.245 0.123 0.587
Cu: 0.253 0.625 0.253
Cu: 0.253 0.125 0.247
Cu: 0.747 0.875 0.753
Cu: 0.747 0.375 0.747
Cu: 0.755 0.877 0.413
Cu: 0.755 0.377 0.087
Cu: 0.753 0.872 0.084
Cu: 0.753 0.372 0.416
Ni: 0.244 0.875 0.748
Ni: 0.244 0.375 0.752
Ni: 0.256 0.877 0.419
Ni: 0.256 0.377 0.081
Ni: 0.744 0.623 0.919
Ni: 0.744 0.123 0.581
Ni: 0.756 0.625 0.248
Ni: 0.756 0.125 0.252

=====

Record 3
VASP calculation (PBE-GGA) on a relaxed Li2Cu3Ni crystal.

Excess energy over the best structure of this formula in the dataset, meV per atom: 0
Size of the total moment, μB per formula unit: 0.0
ΔH_f (0 K), eV per atom: -0.0490

a b c (Å): 4.865 4.865 4.848
angles (deg): 89.50 120.55 120.14
Element x y z (fractional)
Li: 0.747 0.373 0.120
Li: 0.253 0.627 0.880
Cu: 0.500 0.500 0.500
Cu: 0.000 0.000 0.500
Cu: 0.500 0.000 0.500
Ni: 0.000 0.000 0.000

=====

Record 4
VASP calculation (PBE-GGA) on a relaxed LiCu8Ni2 crystal.

Size of the total moment, μB per formula unit: 0.0
ΔH_f (0 K), eV per atom: -0.0162

a b c (Å): 3.616 5.666 6.741
angles (deg): 104.24 105.56 90.00
Element x y z (fractional)
Li: 0.500 0.000 0.000
Cu: 0.593 0.458 0.186
Cu: 0.317 0.088 0.633
Cu: 0.138 0.188 0.276
Cu: 0.047 0.727 0.094
Cu: 0.862 0.812 0.724
Cu: 0.683 0.912 0.367
Cu: 0.407 0.542 0.814
Cu: 0.953 0.273 0.906
Ni: 0.228 0.634 0.455
Ni: 0.772 0.366 0.545

=====

Record 5
VASP calculation (PBE-GGA) on a relaxed Li3Cu2Ni crystal.

Size of the total moment, μB per formula unit: 0.0
ΔH_f (0 K), eV per atom: -0.0199

a b c (Å): 4.377 4.377 8.423
angles (deg): 101.43 101.43 102.90
Element x y z (fractional)
Li: 0.201 0.451 0.402
Li: 0.549 0.799 0.098
Li: 0.799 0.549 0.598
Li: 0.451 0.201 0.902
Li: 0.626 0.374 0.250
Li: 0.374 0.626 0.750
Cu: 0.036 0.286 0.072
Cu: 0.714 0.964 0.428
Cu: 0.964 0.714 0.928
Cu: 0.286 0.036 0.572
Ni: 0.125 0.875 0.250
Ni: 0.875 0.125 0.750

=====

Record 6
VASP calculation (PBE-GGA) on a relaxed Li2Cu8Ni3 crystal.

Size of the total moment, μB per formula unit: 0.0
ΔH_f (0 K), eV per atom: 0.1053

a b c (Å): 4.345 8.337 6.227
angles (deg): 132.03 72.87 90.00
Element x y z (fractional)
Li: 0.652 0.709 0.418
Li: 0.348 0.291 0.582
Cu: 0.793 0.437 0.874
Cu: 0.207 0.563 0.126
Cu: 0.086 0.848 0.697
Cu: 0.914 0.152 0.303
Cu: 0.335 0.913 0.328
Cu: 0.335 0.415 0.328
Cu: 0.665 0.585 0.672
Cu: 0.665 0.087 0.672
Ni: 0.500 0.000 0.000
Ni: 0.000 0.245 0.000
Ni: 0.000 0.755 0.000

=====

| no. | electronic total energy (eV per atom) |
| --- | --- |
| 1 | -4.155 |
| 2 | -4.302 |
| 3 | -3.699 |
| 4 | -4.220 |
| 5 | -3.306 |
| 6 | -4.044 |